Here is crystalline Cs2CuRhCl6 at its relaxed geometry from Alexandria. Energies are from PBE.

Structure (POSCAR):
```
Cs2CuRhCl6
1.0
7.552 0.000 0.000
0.000 8.737 0.000
0.000 0.000 8.421
Cs Cu Rh Cl
4 2 2 12
direct
0.250 0.014 0.227
0.250 0.486 0.227
0.750 0.514 0.773
0.750 0.986 0.773
0.250 0.750 0.610
0.750 0.250 0.390
0.250 0.250 0.736
0.750 0.750 0.264
0.024 0.250 0.528
0.032 0.250 0.937
0.250 0.529 0.754
0.250 0.971 0.754
0.468 0.250 0.937
0.476 0.250 0.528
0.524 0.750 0.472
0.532 0.750 0.063
0.750 0.029 0.246
0.750 0.471 0.246
0.968 0.750 0.063
0.976 0.750 0.472
```

total magnetization	0.0000	μB per atom
SG	Pmmn (59)
energy relative to the elements, uncorrected	-1142	meV per atom
electronic total energy	-71.3	eV per cell
ρ	3855	kg/m³

---

Here is crystalline CsCu2RuCl8 at its relaxed geometry from Alexandria. Energies are from PBE.

Structure (POSCAR):
```
CsCu2RuCl8
1.0
3.456 1.996 9.387
-3.456 1.996 9.387
0.000 -3.991 9.387
Cs Cu Ru Cl
1 2 1 8
direct
0.000 0.000 0.000
0.242 0.242 0.242
0.758 0.758 0.758
0.500 0.500 0.500
0.141 0.561 0.642
0.319 0.319 0.319
0.358 0.439 0.859
0.439 0.859 0.358
0.561 0.642 0.141
0.642 0.141 0.561
0.681 0.681 0.681
0.859 0.358 0.439
```

total magnetization	0.2358	μB per atom
SG	R32 (155)
density of states at the Fermi level	9.846	states/eV/f.u.
energy relative to the elements, uncorrected	-680	meV per atom
electronic total energy	-41.3	eV per cell
ρ	2756	kg/m³

---

Here is crystalline Cs2CuRuCl6 at its relaxed geometry from Alexandria. Energies are from PBE.

Structure (POSCAR):
```
Cs2CuRuCl6
1.0
-3.456 3.456 5.507
3.456 -3.456 5.507
3.456 3.456 -5.507
Cs Cu Ru Cl
2 1 1 6
direct
0.250 0.750 0.500
0.750 0.250 0.500
0.000 0.000 0.000
0.500 0.500 0.000
0.249 0.249 0.498
0.249 0.751 0.000
0.283 0.283 0.000
0.717 0.717 0.000
0.751 0.249 0.000
0.751 0.751 0.502
```

total magnetization	0.1000	μB per atom
SG	I4/mmm (139)
density of states at the Fermi level	19.665	states/eV/f.u.
energy relative to the elements, uncorrected	-1046	meV per atom
electronic total energy	-36.6	eV per cell
ρ	4059	kg/m³

---

Here is crystalline CsCuS2Cl at its relaxed geometry from Alexandria. Energies are from PBE.

Structure (POSCAR):
```
CsCuS2Cl
1.0
5.513 0.000 0.000
0.000 5.513 0.000
0.000 0.000 6.324
Cs Cu S Cl
1 1 2 1
direct
0.000 0.000 0.000
0.500 0.500 0.500
0.000 0.500 0.000
0.500 0.000 0.000
0.000 0.000 0.500
```

total magnetization	0.2169	μB per atom
SG	P4/mmm (123)
density of states at the Fermi level	7.246	states/eV/f.u.
energy above the most stable polymorph in this dataset	1.394	eV per atom
energy relative to the elements, uncorrected	1076	meV per atom
electronic total energy	-9.7	eV per cell
ρ	2557	kg/m³

---

Here is crystalline CsCuS2Cl at its relaxed geometry from Alexandria. Energies are from PBE.

Structure (POSCAR):
```
CsCuS2Cl
1.0
4.575 0.000 0.000
0.000 4.575 0.000
0.000 0.000 6.350
Cs Cu S Cl
1 1 2 1
direct
0.000 0.000 0.000
0.500 0.500 0.500
0.000 0.500 0.500
0.500 0.000 0.500
0.500 0.500 0.000
```

total magnetization	0.2156	μB per atom
SG	P4/mmm (123)
density of states at the Fermi level	7.166	states/eV/f.u.
energy above the most stable polymorph in this dataset	0.000	eV per atom
energy relative to the elements, uncorrected	-318	meV per atom
electronic total energy	-16.6	eV per cell
ρ	3698	kg/m³

---

Here is crystalline CsCu2SbCl6 at its relaxed geometry from Alexandria. Energies are from PBE.

Structure (POSCAR):
```
CsCu2SbCl6
1.0
7.071 0.000 0.000
3.534 6.126 0.000
3.531 2.032 7.695
Cs Cu Sb Cl
1 2 1 6
direct
0.000 0.000 0.000
0.229 0.227 0.314
0.771 0.771 0.686
0.499 0.500 0.500
0.100 0.718 0.704
0.282 0.522 0.296
0.477 0.101 0.704
0.523 0.898 0.296
0.716 0.477 0.705
0.898 0.282 0.296
```

total magnetization	0.0000	μB per atom
SG	P1 (1)
density of states at the Fermi level	0.000	states/eV/f.u.
energy relative to the elements, uncorrected	-926	meV per atom
electronic total energy	-33.5	eV per cell
ρ	2962	kg/m³

---

Here is crystalline CsScCu2Cl8 at its relaxed geometry from Alexandria. Energies are from PBE.

Structure (POSCAR):
```
CsScCu2Cl8
1.0
4.910 -3.645 0.000
4.910 3.645 0.000
-0.126 0.000 10.378
Cs Sc Cu Cl
1 1 2 8
direct
0.000 0.000 0.000
0.000 0.000 0.500
0.362 0.362 0.696
0.638 0.638 0.304
0.224 0.761 0.680
0.239 0.776 0.320
0.256 0.256 0.505
0.339 0.339 0.904
0.661 0.661 0.096
0.744 0.744 0.495
0.761 0.224 0.680
0.776 0.239 0.320
```

total magnetization	0.1741	μB per atom
SG	C2/m (12)
density of states at the Fermi level	3.510	states/eV/f.u.
energy relative to the elements, uncorrected	-1237	meV per atom
electronic total energy	-45.0	eV per cell
ρ	2631	kg/m³

---

Here is crystalline CsScCuCl6 at its relaxed geometry from Alexandria. Energies are from PBE.

Structure (POSCAR):
```
CsScCuCl6
1.0
6.415 0.000 0.000
-2.560 5.890 0.000
-0.487 -0.714 7.685
Cs Sc Cu Cl
1 1 1 6
direct
0.000 0.000 0.000
0.636 0.361 0.500
0.289 0.706 0.501
0.335 0.047 0.649
0.339 0.447 0.310
0.551 0.657 0.691
0.600 0.071 0.274
0.930 0.399 0.724
0.950 0.666 0.352
```

total magnetization	0.1111	μB per atom
SG	P1 (1)
energy relative to the elements, uncorrected	-1566	meV per atom
electronic total energy	-36.5	eV per cell
ρ	2597	kg/m³

---

Here is crystalline CsScCuCl5 at its relaxed geometry from Alexandria. Energies are from PBE.

Structure (POSCAR):
```
CsScCuCl5
1.0
4.468 -5.930 0.000
4.468 5.930 0.000
-3.816 0.000 8.894
Cs Sc Cu Cl
2 2 2 10
direct
0.158 0.842 0.750
0.842 0.158 0.250
0.500 0.500 0.000
0.500 0.500 0.500
0.192 0.808 0.250
0.808 0.192 0.750
0.138 0.285 0.915
0.215 0.606 0.401
0.285 0.138 0.415
0.394 0.785 0.099
0.442 0.558 0.750
0.558 0.442 0.250
0.606 0.215 0.901
0.715 0.862 0.585
0.785 0.394 0.599
0.862 0.715 0.085
```

total magnetization	0.0181	μB per atom
SG	C2/c (15)
energy relative to the elements, uncorrected	-1662	meV per atom
electronic total energy	-67.6	eV per cell
ρ	2950	kg/m³

---

Here is crystalline CsSmCuCl5 at its relaxed geometry from Alexandria. Energies are from PBE.

Structure (POSCAR):
```
CsSmCuCl5
1.0
4.592 -6.109 0.000
4.592 6.109 0.000
-4.045 0.000 9.460
Cs Sm Cu Cl
2 2 2 10
direct
0.154 0.846 0.750
0.846 0.154 0.250
0.500 0.500 0.000
0.500 0.500 0.500
0.191 0.809 0.250
0.809 0.191 0.750
0.122 0.274 0.913
0.202 0.609 0.392
0.274 0.122 0.413
0.391 0.798 0.108
0.430 0.570 0.750
0.570 0.430 0.250
0.609 0.202 0.892
0.726 0.878 0.587
0.798 0.391 0.608
0.878 0.726 0.087
```

total magnetization	0.0188	μB per atom
SG	C2/c (15)
density of states at the Fermi level	0.000	states/eV/f.u.
energy relative to the elements, uncorrected	-1746	meV per atom
electronic total energy	-65.7	eV per cell
ρ	3279	kg/m³

---

Here is crystalline CsSmCu2Cl8 at its relaxed geometry from Alexandria. Energies are from PBE.

Structure (POSCAR):
```
CsSmCu2Cl8
1.0
4.860 -3.803 0.000
4.860 3.803 0.000
-0.075 0.000 10.792
Cs Sm Cu Cl
1 1 2 8
direct
0.000 0.000 0.000
0.000 0.000 0.500
0.378 0.378 0.704
0.622 0.622 0.296
0.215 0.757 0.695
0.243 0.785 0.305
0.280 0.280 0.513
0.341 0.341 0.903
0.659 0.659 0.097
0.720 0.720 0.487
0.757 0.215 0.695
0.785 0.243 0.305
```

total magnetization	0.1776	μB per atom
SG	C2/m (12)
density of states at the Fermi level	4.900	states/eV/f.u.
energy relative to the elements, uncorrected	-1294	meV per atom
electronic total energy	-44.1	eV per cell
ρ	2889	kg/m³

---

Here is crystalline CsSmCuCl6 at its relaxed geometry from Alexandria. Energies are from PBE.

Structure (POSCAR):
```
CsSmCuCl6
1.0
6.644 0.000 0.000
-2.538 6.146 0.000
-0.589 -0.872 7.713
Cs Sm Cu Cl
1 1 1 6
direct
0.000 0.000 0.000
0.360 0.640 0.500
0.711 0.287 0.500
0.038 0.325 0.651
0.052 0.582 0.248
0.418 0.947 0.753
0.454 0.324 0.306
0.674 0.962 0.349
0.676 0.546 0.694
```

total magnetization	0.1112	μB per atom
SG	P1 (1)
energy relative to the elements, uncorrected	-1629	meV per atom
electronic total energy	-35.4	eV per cell
ρ	2950	kg/m³